1.
DFT (PBE-GGA) results for BaLa3Os after structural relaxation.

abc: 11.1021 9.9423 9.9423
angles: 63.91 110.79 69.21
Fractional coordinates of all 20 atoms:
Os 0.7785 0.7300 0.6778
Ba 0.2500 0.8673 0.3673
La 0.5602 0.5375 0.1561
La 0.1680 0.9069 0.9516
La 0.0081 0.7889 0.6283
La 0.9919 0.2111 0.3717
La 0.8320 0.0931 0.0484
La 0.3320 0.4516 0.4069
Ba 0.2500 0.2243 0.7243
Ba 0.7500 0.7757 0.2757
La 0.4398 0.4625 0.8439
Ba 0.7500 0.1327 0.6327
Os 0.2215 0.2700 0.3222
Os 0.7215 0.1778 0.2300
La 0.5081 0.8717 0.7111
La 0.0602 0.3439 0.9625
La 0.6680 0.5484 0.5931
La 0.4919 0.1283 0.2889
La 0.9398 0.6561 0.0375
Os 0.2785 0.8222 0.7700

Calculated values
Energy ... -5.483 eV/atom
Symmetry ... No. 15
Polymorph energy (0 for the lowest one) ... 193.5 meV per atom
Calculated formation energy ... 0.1035 eV per atom

2.
DFT (PBE-GGA) results for Ba4LaOs after structural relaxation.

abc: 6.8983 6.8983 6.8983
angles: 60.00 60.00 60.00
Fractional coordinates of all 6 atoms:
La 0.7500 0.7500 0.7500
Os 0.0000 0.0000 0.0000
Ba 0.3736 0.3736 0.3736
Ba 0.3736 0.3736 0.8791
Ba 0.8791 0.3736 0.3736
Ba 0.3736 0.8791 0.3736

Calculated values
Energy ... -2.752 eV/atom
Symmetry ... No. 216
Calculated formation energy ... 1.2222 eV per atom

3.
DFT (PBE-GGA) results for BaLa3Os after structural relaxation.

abc: 21.2784 7.2499 7.2499
angles: 132.67 143.09 36.91
Fractional coordinates of all 10 atoms:
La 0.6922 0.1815 0.8185
Ba 0.4243 0.9581 0.0419
La 0.0566 0.5804 0.4196
La 0.8322 0.2846 0.7154
La 0.1678 0.7154 0.2846
Os 0.0882 0.0242 0.9758
La 0.9434 0.4196 0.5804
Os 0.9118 0.9758 0.0242
Ba 0.5757 0.0419 0.9581
La 0.3078 0.8185 0.1815

Calculated values
Energy ... -5.647 eV/atom
Symmetry ... No. 12
Polymorph energy (0 for the lowest one) ... 29.8 meV per atom
Calculated formation energy ... -0.0602 eV per atom

4.
DFT (PBE-GGA) results for BaLaOs3 after structural relaxation.

abc: 5.0384 5.0384 5.0384
angles: 90.00 90.00 90.00
Fractional coordinates of all 5 atoms:
La 0.0000 0.0000 0.0000
Ba 0.5000 0.5000 0.5000
Os 0.0000 0.5000 0.0000
Os 0.5000 0.0000 0.0000
Os 0.0000 0.0000 0.5000

Calculated values
Energy ... -6.062 eV/atom
Symmetry ... No. 221
Polymorph energy (0 for the lowest one) ... 0.0 meV per atom
Calculated formation energy ... 2.0455 eV per atom

5.
DFT (PBE-GGA) results for BaLa3Os after structural relaxation.

abc: 10.8568 10.8568 10.8568
angles: 60.00 60.00 60.00
Fractional coordinates of all 20 atoms:
La 0.9311 0.9311 0.5689
La 0.5689 0.9311 0.5689
La 0.6811 0.6811 0.3189
La 0.5689 0.5689 0.9311
Os 0.6250 0.1250 0.6250
La 0.3189 0.6811 0.6811
La 0.9311 0.5689 0.9311
Ba 0.1250 0.6250 0.1250
Os 0.6250 0.6250 0.1250
La 0.3189 0.3189 0.6811
La 0.3189 0.6811 0.3189
Os 0.1250 0.6250 0.6250
Ba 0.1250 0.1250 0.6250
La 0.6811 0.3189 0.6811
Ba 0.1250 0.1250 0.1250
La 0.5689 0.9311 0.9311
Os 0.6250 0.6250 0.6250
La 0.9311 0.5689 0.5689
La 0.6811 0.3189 0.3189
Ba 0.6250 0.1250 0.1250

Calculated values
Energy ... -5.486 eV/atom
Symmetry ... No. 227
Polymorph energy (0 for the lowest one) ... 191.3 meV per atom
Calculated formation energy ... 0.1013 eV per atom

6.
DFT (PBE-GGA) results for BaLa3Os after structural relaxation.

abc: 8.1160 8.1160 6.6336
angles: 90.00 90.00 128.50
Fractional coordinates of all 10 atoms:
Os 0.1641 0.8359 0.2500
Ba 0.4277 0.5723 0.7500
Ba 0.5723 0.4277 0.2500
Os 0.8359 0.1641 0.7500
La 0.0000 0.0000 0.5000
La 0.9568 0.5610 0.7500
La 0.5610 0.9568 0.2500
La 0.0000 0.0000 0.0000
La 0.0432 0.4390 0.2500
La 0.4390 0.0432 0.7500

Calculated values
Energy ... -5.476 eV/atom
Symmetry ... No. 63
Polymorph energy (0 for the lowest one) ... 200.7 meV per atom
Calculated formation energy ... 0.1107 eV per atom